[1]
# PBE-GGA AcCuSn2, relaxed
# - energy (eV per formula unit) = -18.10
# - energy of formation (eV/atom) = -0.473
data_AcCuSn2
_chemical_formula_sum 'Ac8 Cu8 Sn16'
_space_group_name_H-M_alt 'I m m m'
_space_group_IT_number 71
_space_group_name_Hall '-I 2 2'
_cell_length_a 4.7493
_cell_length_b 9.5548
_cell_length_c 18.5325
_cell_angle_alpha 90.00
_cell_angle_beta 90.00
_cell_angle_gamma 90.00
loop_
_atom_site_label
_atom_site_type_symbol
_atom_site_fract_x
_atom_site_fract_y
_atom_site_fract_z
_atom_site_occupancy
Ac1 Ac 0.0000 0.0000 0.2050 1
Ac2 Ac 0.0000 0.2420 0.0000 1
Cu1 Cu 0.0000 0.2554 0.3532 1
Sn1 Sn 0.0000 0.0000 0.4189 1
Sn2 Sn 0.0000 0.3435 0.1893 1
Sn3 Sn 0.0000 0.5000 0.4228 1

***

[2]
# PBE-GGA Ac2CuSn5, relaxed
# - energy (eV per formula unit) = -35.59
# - energy of formation (eV/atom) = -0.408
data_Ac2CuSn5
_chemical_formula_sum 'Ac4 Cu2 Sn10'
_space_group_name_H-M_alt 'I 4 m m'
_space_group_IT_number 107
_space_group_name_Hall 'I 4 -2'
_cell_length_a 6.7246
_cell_length_b 6.7246
_cell_length_c 10.3633
_cell_angle_alpha 90.00
_cell_angle_beta 90.00
_cell_angle_gamma 90.00
loop_
_atom_site_label
_atom_site_type_symbol
_atom_site_fract_x
_atom_site_fract_y
_atom_site_fract_z
_atom_site_occupancy
Ac1 Ac 0.0000 0.5000 0.0000 1
Cu1 Cu 0.0000 0.0000 0.1184 1
Sn1 Sn 0.0000 0.0000 0.5435 1
Sn2 Sn 0.2470 0.2470 0.7533 1

***

[3]
# PBE-GGA AcCuSn2, relaxed
# - energy (eV per formula unit) = -17.22
# - energy of formation (eV/atom) = -0.253
data_AcCuSn2
_chemical_formula_sum 'Ac1 Cu1 Sn2'
_space_group_name_H-M_alt 'P 4/m m m'
_space_group_IT_number 123
_space_group_name_Hall '-P 4 2'
_cell_length_a 4.7065
_cell_length_b 4.7065
_cell_length_c 4.8819
_cell_angle_alpha 90.00
_cell_angle_beta 90.00
_cell_angle_gamma 90.00
loop_
_atom_site_label
_atom_site_type_symbol
_atom_site_fract_x
_atom_site_fract_y
_atom_site_fract_z
_atom_site_occupancy
Ac1 Ac 0.0000 0.0000 0.0000 1
Cu1 Cu 0.5000 0.5000 0.0000 1
Sn1 Sn 0.0000 0.5000 0.5000 1

***

[4]
# PBE-GGA AcCu2Sn3, relaxed
# - energy (eV per formula unit) = -25.31
# - energy of formation (eV/atom) = -0.167
data_AcCu2Sn3
_chemical_formula_sum 'Ac4 Cu8 Sn12'
_space_group_name_H-M_alt 'C m c m'
_space_group_IT_number 63
_space_group_name_Hall '-C 2c 2'
_cell_length_a 9.7293
_cell_length_b 9.1584
_cell_length_c 6.6031
_cell_angle_alpha 90.00
_cell_angle_beta 90.00
_cell_angle_gamma 90.00
loop_
_atom_site_label
_atom_site_type_symbol
_atom_site_fract_x
_atom_site_fract_y
_atom_site_fract_z
_atom_site_occupancy
Ac1 Ac 0.0000 0.1558 0.2500 1
Cu1 Cu 0.2282 0.5000 0.0000 1
Sn1 Sn 0.0000 0.4759 0.7500 1
Sn2 Sn 0.1629 0.1931 0.7500 1

***

[5]
# PBE-GGA Ac6CuSn2, relaxed
# - energy (eV per formula unit) = -38.63
# - energy of formation (eV/atom) = -0.209
data_Ac6CuSn2
_chemical_formula_sum 'Ac12 Cu2 Sn4'
_space_group_name_H-M_alt 'I m m m'
_space_group_IT_number 71
_space_group_name_Hall '-I 2 2'
_cell_length_a 5.5648
_cell_length_b 7.8897
_cell_length_c 16.2633
_cell_angle_alpha 90.00
_cell_angle_beta 90.00
_cell_angle_gamma 90.00
loop_
_atom_site_label
_atom_site_type_symbol
_atom_site_fract_x
_atom_site_fract_y
_atom_site_fract_z
_atom_site_occupancy
Ac1 Ac 0.0000 0.2286 0.0000 1
Ac2 Ac 0.0000 0.2563 0.3421 1
Cu1 Cu 0.0000 0.5000 0.5000 1
Sn1 Sn 0.0000 0.5000 0.1660 1

***

[6]
# PBE-GGA Ac2CuSn, relaxed
# - energy (eV per formula unit) = -17.40
# - energy of formation (eV/atom) = -0.271
data_Ac2CuSn
_chemical_formula_sum 'Ac2 Cu1 Sn1'
_space_group_name_H-M_alt 'P -3 m 1'
_space_group_IT_number 164
_space_group_name_Hall '-P 3 2"'
_cell_length_a 5.2892
_cell_length_b 5.2892
_cell_length_c 5.4707
_cell_angle_alpha 90.00
_cell_angle_beta 90.00
_cell_angle_gamma 120.00
loop_
_atom_site_label
_atom_site_type_symbol
_atom_site_fract_x
_atom_site_fract_y
_atom_site_fract_z
_atom_site_occupancy
Ac1 Ac 0.3333 0.6667 0.2322 1
Cu1 Cu 0.0000 0.0000 0.0000 1
Sn1 Sn 0.0000 0.0000 0.5000 1